# TlTcO2

An optimized crystal structure of TlTcO2 (PBE, Alexandria).

M_tot in μB per formula unit: 0.00
Relative energy among the computed polymorphs in meV/atom: 967.6
Uncorrected formation energy in eV per atom: 0.2120

abc: 5.855 5.855 5.855
angles: 90.00 90.00 90.00
Space group Fm-3m (No. 225)
Asymmetric unit:
Tl 0.000 0.000 0.000 [4 per cell]
Tc 0.000 0.000 0.500 [4 per cell]
O 0.250 0.250 0.250 [8 per cell]